No. 1
Here is La6Mg2CoOs after structural relaxation from the Alexandria database. Energies are from PBE.

Lattice parameters (Å, degrees): 7.784 7.784 7.793 119.65 119.65 90.42
Sites, in units of the cell vectors:
1 La 0.246 0.246 0.001
2 La 0.247 0.247 0.495
3 La 0.247 0.753 0.000
4 La 0.753 0.247 0.000
5 La 0.753 0.753 0.505
6 La 0.754 0.754 0.999
7 Mg 0.250 0.750 0.500
8 Mg 0.750 0.250 0.500
9 Co 0.000 0.000 0.000
10 Os 0.500 0.500 0.000

Computed properties:
**Raw total energy**: -51.869 eV/cell
**Calculated formation energy**: -0.08 eV per atom
**Size of the total moment**: 0.00 μB per formula unit
**Symmetry**: C2/m, No. 12

No. 2
Here is LaMgCoP2 after structural relaxation from the Alexandria database. Energies are from PBE.

Lattice parameters (Å, degrees): 4.611 4.611 4.740 90.00 90.00 90.00
Sites, in units of the cell vectors:
1 La 0.000 0.000 0.000
2 Mg 0.500 0.500 0.000
3 Co 0.000 0.000 0.500
4 P 0.000 0.500 0.500
5 P 0.500 0.000 0.500

Computed properties:
**Raw total energy**: -25.203 eV/cell
**Calculated formation energy**: -0.15 eV per atom
**Size of the total moment**: 0.00 μB per formula unit
**Symmetry**: P4/mmm, No. 123

No. 3
Here is LaMgCo2Pb after structural relaxation from the Alexandria database. Energies are from PBE.

Lattice parameters (Å, degrees): 4.726 4.726 5.633 90.00 90.00 90.00
Sites, in units of the cell vectors:
1 La 0.000 0.000 0.000
2 Mg 0.000 0.000 0.500
3 Co 0.000 0.500 0.500
4 Co 0.500 0.000 0.500
5 Pb 0.500 0.500 0.000

Computed properties:
**Raw total energy**: -19.771 eV/cell
**Calculated formation energy**: 0.93 eV per atom
**Size of the total moment**: 3.11 μB per formula unit
**Symmetry**: P4/mmm, No. 123

No. 4
Here is La2MgCoPb after structural relaxation from the Alexandria database. Energies are from PBE.

Lattice parameters (Å, degrees): 5.309 5.309 5.088 90.00 90.00 90.00
Sites, in units of the cell vectors:
1 La 0.000 0.500 0.000
2 La 0.500 0.000 0.000
3 Mg 0.000 0.000 0.500
4 Co 0.500 0.500 0.000
5 Pb 0.500 0.500 0.500

Computed properties:
**Raw total energy**: -23.252 eV/cell
**Calculated formation energy**: -0.20 eV per atom
**Size of the total moment**: 0.00 μB per formula unit
**Symmetry**: P4/mmm, No. 123
**E above lowest polymorph**: 128.7 meV per atom

No. 5
Here is La2MgCoPb after structural relaxation from the Alexandria database. Energies are from PBE.

Lattice parameters (Å, degrees): 5.213 5.213 5.070 90.00 90.00 90.00
Sites, in units of the cell vectors:
1 La 0.000 0.500 0.000
2 La 0.500 0.000 0.000
3 Mg 0.000 0.000 0.500
4 Co 0.000 0.000 0.000
5 Pb 0.500 0.500 0.500

Computed properties:
**Raw total energy**: -23.895 eV/cell
**Calculated formation energy**: -0.33 eV per atom
**Size of the total moment**: 0.00 μB per formula unit
**Symmetry**: P4/mmm, No. 123
**E above lowest polymorph**: 0.0 meV per atom

No. 6
Here is La2MgCoSb after structural relaxation from the Alexandria database. Energies are from PBE.

Lattice parameters (Å, degrees): 5.203 5.203 4.954 90.00 90.00 90.00
Sites, in units of the cell vectors:
1 La 0.000 0.500 0.000
2 La 0.500 0.000 0.000
3 Mg 0.000 0.000 0.500
4 Co 0.000 0.000 0.000
5 Sb 0.500 0.500 0.500

Computed properties:
**Raw total energy**: -25.316 eV/cell
**Raw formation energy**: -0.5276 eV/atom
**Size of the total moment**: 0.00 μB per formula unit
**Symmetry**: P4/mmm, No. 123

No. 7
Here is LaMg2ScCo after structural relaxation from the Alexandria database. Energies are from PBE.

Lattice parameters (Å, degrees): 5.046 5.046 4.631 90.00 90.00 90.00
Sites, in units of the cell vectors:
1 La 0.000 0.000 0.000
2 Mg 0.000 0.500 0.500
3 Mg 0.500 0.000 0.500
4 Sc 0.500 0.500 0.000
5 Co 0.500 0.500 0.500

Computed properties:
**Raw total energy**: -21.902 eV/cell
**Calculated formation energy**: -0.07 eV per atom
**Size of the total moment**: 0.00 μB per formula unit
**Symmetry**: P4/mmm, No. 123

No. 8
Here is La2MgCoSi after structural relaxation from the Alexandria database. Energies are from PBE.

Lattice parameters (Å, degrees): 5.394 5.394 4.428 90.00 90.00 90.00
Sites, in units of the cell vectors:
1 La 0.000 0.500 0.000
2 La 0.500 0.000 0.000
3 Mg 0.000 0.000 0.500
4 Co 0.500 0.500 0.000
5 Si 0.500 0.500 0.500

Computed properties:
**Raw total energy**: -25.344 eV/cell
**Raw formation energy**: -0.2731 eV/atom
**Size of the total moment**: 0.00 μB per formula unit
**Symmetry**: P4/mmm, No. 123

Q: Among the records above, which one has the lowest raw total energy?
A: La6Mg2CoOs